[1]
## Dy4MgAl3 (PBE)

Data for a geometry-optimized Dy4MgAl3 structure.

The structure belongs to space group Pmm2 (No. 25); the cell edges are 3.605, 4.635 and 11.969 Å and the angles 90.00°, 90.00° and 90.00°. Symmetry generates all atoms from Dy at (0.000, 0.000, 0.000), Dy at (0.000, 0.500, 0.311), Dy at (0.500, 0.000, 0.489), Dy at (0.500, 0.500, 0.822), Mg at (0.000, 0.000, 0.717), Al at (0.000, 0.500, 0.582), Al at (0.500, 0.000, 0.222) and Al at (0.500, 0.500, 0.090).

Its total DFT energy (no corrections) is -33.40 eV/cell. Its density of states at the Fermi level is 8.10 states/eV/f.u. The calculation puts the formation energy from the elements at -2.17 eV per formula unit.

[2]
## BeVMoRu (PBE)

Data for a geometry-optimized BeVMoRu structure.

The structure belongs to space group F-43m (No. 216); the cell edges are 5.918, 5.918 and 5.918 Å and the angles 90.00°, 90.00° and 90.00°. Symmetry generates all atoms from Be at (0.000, 0.000, 0.000), V at (0.000, 0.000, 0.500), Mo at (0.250, 0.250, 0.750) and Ru at (0.250, 0.250, 0.250).

Its total DFT energy (no corrections) is -132.60 eV/cell. Its density of states at the Fermi level is 5.14 states/eV/f.u. The calculation puts the formation energy from the elements at -0.20 eV per formula unit.

[3]
## AlBC (PBE)

Data for a geometry-optimized AlBC structure.

The structure belongs to space group Amm2 (No. 38); the cell edges are 2.946, 6.972 and 5.425 Å and the angles 90.00°, 90.00° and 90.00°. Symmetry generates all atoms from Al at (0.000, 0.217, 0.000), B at (0.000, 0.000, 0.703), B at (0.500, 0.000, 0.521) and C at (0.500, 0.102, 0.245).

Its total DFT energy (no corrections) is -74.32 eV/cell. Its density of states at the Fermi level is 0.62 states/eV/f.u. The calculation puts the formation energy from the elements at 1.06 eV per formula unit.

[4]
## Zn2AgP (PBE)

Data for a geometry-optimized Zn2AgP structure.

The structure belongs to space group P4mm (No. 99); the cell edges are 2.816, 2.816 and 8.081 Å and the angles 90.00°, 90.00° and 90.00°. Symmetry generates all atoms from Zn at (0.000, 0.000, 0.000), Zn at (0.500, 0.500, 0.237), Ag at (0.000, 0.000, 0.489) and P at (0.500, 0.500, 0.762).

Its total DFT energy (no corrections) is -9.91 eV/cell. Its density of states at the Fermi level is 2.01 states/eV/f.u. The calculation puts the formation energy from the elements at 0.90 eV per formula unit.

[5]
## SrLiCu2 (PBE)

Data for a geometry-optimized SrLiCu2 structure.

The structure belongs to space group P2/m (No. 10); the cell edges are 3.484, 3.519 and 6.582 Å and the angles 90.00°, 90.08° and 90.00°. Symmetry generates all atoms from Sr at (0.000, 0.000, 0.000), Li at (0.000, 0.000, 0.500) and Cu at (0.499, 0.500, 0.685).

Its total DFT energy (no corrections) is -11.57 eV/cell. Its density of states at the Fermi level is 0.73 states/eV/f.u. The calculation puts the formation energy from the elements at 0.22 eV per formula unit.

[6]
## Rb2Nd2I7 (PBE)

Data for a geometry-optimized Rb2Nd2I7 structure.

The structure belongs to space group C2/m (No. 12); the cell edges are 13.642, 9.639 and 8.365 Å and the angles 90.00°, 99.28° and 90.00°. Symmetry generates all atoms from Rb at (0.000, 0.235, 0.000), Nd at (0.240, 0.000, 0.541), I at (0.000, 0.000, 0.500), I at (0.045, 0.500, 0.289) and I at (0.231, 0.284, 0.742).

Its total DFT energy (no corrections) is -73.31 eV/cell. Its density of states at the Fermi level is 4.15 states/eV/f.u. For the raw formation energy, the calculation gives -1.303 eV per atom.

[7]
## AcLa4SmHo2 (PBE)

Data for a geometry-optimized AcLa4SmHo2 structure.

The structure belongs to space group C2/m (No. 12); the cell edges are 11.666, 5.257 and 10.553 Å and the angles 90.00°, 117.00° and 90.00°. Symmetry generates all atoms from Ac at (0.000, 0.000, 0.000), La at (0.247, 0.000, 0.870), La at (0.249, 0.500, 0.623), Sm at (0.000, 0.000, 0.500) and Ho at (0.001, 0.500, 0.745).

Its total DFT energy (no corrections) is -74.87 eV/cell. Its density of states at the Fermi level is 13.87 states/eV/f.u. The calculation puts the formation energy from the elements at 0.26 eV per formula unit.

[8]
## DyTaW4 (PBE)

Data for a geometry-optimized DyTaW4 structure.

The structure belongs to space group F-43m (No. 216); the cell edges are 7.659, 7.659 and 7.659 Å and the angles 90.00°, 90.00° and 90.00°. Symmetry generates all atoms from Dy at (0.000, 0.000, 0.000), Ta at (0.250, 0.250, 0.750) and W at (0.125, 0.125, 0.375).

Its total DFT energy (no corrections) is -270.93 eV/cell. Its density of states at the Fermi level is 3.42 states/eV/f.u. The calculation puts the formation energy from the elements at 0.53 eV per formula unit.